[1]
VASP calculation (PBE) on a geometry-optimized Zr2HI2 structure.

Cell: 9.1559 9.1559 9.1559 Å, 153.62 153.62 37.65°
Positions (direct):
Zr: 0.2500 0.7500 0.5000
Zr: 0.7500 0.2500 0.5000
H: 0.0000 0.0000 0.0000
I: 0.3753 0.3753 0.0000
I: 0.6247 0.6247 0.0000

Calculated values
N(E_F) ... 1.5 states/eV/cell
Total magnetization ... 0.989 μB per formula unit
Volume ... 30.263 Å³/atom
Space-group type ... I4/mmm
Raw total energy ... -4.57 eV/atom

=====

[2]
VASP calculation (PBE) on a geometry-optimized Zr3HI structure.

Cell: 4.5010 4.5010 4.5010 Å, 90.00 90.00 90.00°
Positions (direct):
Zr: 0.0000 0.0000 0.5000
Zr: 0.0000 0.5000 0.0000
Zr: 0.5000 0.0000 0.0000
H: 0.0000 0.0000 0.0000
I: 0.5000 0.5000 0.5000

Calculated values
Relative energy among the computed polymorphs ... 0 meV/atom
N(E_F) ... 4.5 states/eV/cell
Total magnetization ... 0.000 μB per formula unit
Volume ... 18.237 Å³/atom
Space-group type ... Pm-3m

=====

[3]
VASP calculation (PBE) on a geometry-optimized ZrH3I structure.

Cell: 4.0091 4.0091 4.0091 Å, 90.00 90.00 90.00°
Positions (direct):
Zr: 0.0000 0.0000 0.0000
H: 0.0000 0.5000 0.5000
H: 0.5000 0.0000 0.5000
H: 0.5000 0.5000 0.0000
I: 0.5000 0.5000 0.5000

Calculated values
Relative energy among the computed polymorphs ... 1239 meV/atom
N(E_F) ... 3.2 states/eV/cell
Total magnetization ... 0.000 μB per formula unit
Volume ... 12.887 Å³/atom
Space-group type ... Pm-3m

=====

[4]
VASP calculation (PBE) on a geometry-optimized ZrHI structure.

Cell: 9.7731 3.6881 8.2929 Å, 90.00 90.00 90.00°
Positions (direct):
Zr: 0.1105 0.2500 0.0581
Zr: 0.3895 0.7500 0.5581
Zr: 0.6105 0.2500 0.4419
Zr: 0.8895 0.7500 0.9419
H: 0.0921 0.7500 0.9444
H: 0.4079 0.2500 0.4444
H: 0.5921 0.7500 0.5556
H: 0.9079 0.2500 0.0556
I: 0.1485 0.7500 0.3398
I: 0.3515 0.2500 0.8398
I: 0.6485 0.7500 0.1602
I: 0.8515 0.2500 0.6602

Calculated values
N(E_F) ... 5.8 states/eV/cell
Total magnetization ... 0.000 μB per formula unit
Volume ... 24.909 Å³/atom
Space-group type ... Pnma
Raw total energy ... -4.86 eV/atom